Below is a relaxed structure of BaAl4Ag2, with properties calculated at the PBE level.

The formation enthalpy at 0 K comes out at -1.09 eV/f.u. Its space-group type is Cmmm, No. 65. For the calculated volume, the calculation gives 155 Å³ per cell. The total energy comes out at -3.384 eV per atom. Its spin magnetization is 0.000 μB/atom.

a = 7.954 Å, b = 7.954 Å, c = 4.503 Å
α = 90.00°, β = 90.00°, γ = 147.12°
Atoms (fractional coordinates):
Ba: 0.000 0.000 0.000
Al: 0.191 0.809 0.500
Al: 0.306 0.694 0.000
Al: 0.694 0.306 0.000
Al: 0.809 0.191 0.500
Ag: 0.403 0.597 0.500
Ag: 0.597 0.403 0.500